A relaxed PH2Se crystal. Source: Alexandria, functional PBE.

```
PH2Se
1.0
0.000 2.713 2.713
2.713 0.000 2.713
2.713 2.713 0.000
P H Se
1 2 1
Direct
0.000 0.000 0.000
0.250 0.250 0.250
0.750 0.750 0.750
0.500 0.500 0.500
```

Total DFT energy (no corrections), Ry/atom: -0.2126
Magnetization, μB/atom: 0.000

***

A relaxed Si2PHSe crystal. Source: Alexandria, functional PBE.

```
Si2PHSe
1.0
4.619 0.000 0.000
0.000 4.619 0.000
0.000 0.000 3.369
Si P H Se
2 1 1 1
Direct
0.000 0.500 0.000
0.500 0.000 0.000
0.000 0.000 0.500
0.000 0.000 0.000
0.500 0.500 0.500
```

Total DFT energy (no corrections), Ry/atom: -0.2889
Magnetization, μB/atom: 0.000

***

A relaxed Sm6P2HSe3 crystal. Source: Alexandria, functional PBE.

```
Sm6P2HSe3
1.0
8.929 -2.048 0.000
8.929 2.048 0.000
-2.064 0.000 7.951
Sm P H Se
6 2 1 3
Direct
0.003 0.003 0.246
0.328 0.328 0.428
0.336 0.336 0.906
0.664 0.664 0.094
0.672 0.672 0.572
0.997 0.997 0.754
0.164 0.164 0.330
0.836 0.836 0.670
0.500 0.500 0.000
0.168 0.168 0.834
0.500 0.500 0.500
0.832 0.832 0.166
```

Total DFT energy (no corrections), Ry/atom: -0.4347
Magnetization, μB/atom: 0.000

***

A relaxed Tb6P2HSe3 crystal. Source: Alexandria, functional PBE.

```
Tb6P2HSe3
1.0
8.754 -2.007 0.000
8.754 2.007 0.000
-2.063 0.000 7.797
Tb P H Se
6 2 1 3
Direct
0.002 0.002 0.242
0.328 0.328 0.429
0.338 0.338 0.906
0.662 0.662 0.094
0.672 0.672 0.571
0.998 0.998 0.758
0.164 0.164 0.330
0.836 0.836 0.670
0.500 0.500 0.000
0.168 0.168 0.834
0.500 0.500 0.500
0.832 0.832 0.166
```

Total DFT energy (no corrections), Ry/atom: -0.4307
Magnetization, μB/atom: 0.000

***

A relaxed TlPHSe3 crystal. Source: Alexandria, functional PBE.

```
TlPHSe3
1.0
6.286 -3.726 0.000
6.286 3.726 0.000
-2.142 0.000 6.670
Tl P H Se
2 2 2 6
Direct
0.216 0.216 0.214
0.784 0.784 0.786
0.473 0.473 0.828
0.527 0.527 0.172
0.271 0.729 0.500
0.729 0.271 0.500
0.195 0.689 0.235
0.293 0.293 0.710
0.311 0.805 0.765
0.689 0.195 0.235
0.707 0.707 0.290
0.805 0.311 0.765
```

Total DFT energy (no corrections), Ry/atom: -0.2765
Magnetization, μB/atom: 0.000

***

A relaxed Tm8P3HSe4 crystal. Source: Alexandria, functional PBE.

```
Tm8P3HSe4
1.0
3.915 2.260 6.550
-3.915 2.260 6.550
0.000 -4.520 6.550
Tm P H Se
8 3 1 4
Direct
0.241 0.744 0.744
0.242 0.242 0.242
0.256 0.256 0.759
0.256 0.759 0.256
0.744 0.241 0.744
0.744 0.744 0.241
0.758 0.758 0.758
0.759 0.256 0.256
0.000 0.000 0.500
0.000 0.500 0.000
0.500 0.000 0.000
0.500 0.500 0.500
0.000 0.000 0.000
0.000 0.500 0.500
0.500 0.000 0.500
0.500 0.500 0.000
```

Total DFT energy (no corrections), Ry/atom: -0.4291
Magnetization, μB/atom: 0.000

***

A relaxed U2PH2Se crystal. Source: Alexandria, functional PBE.

```
U2PH2Se
1.0
3.823 0.000 0.000
-1.911 3.310 0.000
0.000 0.000 7.459
U P H Se
2 1 2 1
Direct
0.333 0.667 0.234
0.667 0.333 0.766
0.000 0.000 0.000
0.333 0.667 0.756
0.667 0.333 0.244
0.000 0.000 0.500
```

Total DFT energy (no corrections), Ry/atom: -0.5292
Magnetization, μB/atom: 0.796

***

A relaxed VPHSe2 crystal. Source: Alexandria, functional PBE.

```
VPHSe2
1.0
4.928 0.000 0.000
0.000 4.928 0.000
0.000 0.000 4.502
V P H Se
1 1 1 2
Direct
0.000 0.000 0.000
0.000 0.000 0.500
0.500 0.500 0.000
0.000 0.500 0.500
0.500 0.000 0.500
```

Total DFT energy (no corrections), Ry/atom: -0.2897
Magnetization, μB/atom: 0.249